(1)
A relaxed KSnRh2Br crystal. Source: Alexandria via LeMat-Bulk, functional PBE.

```
5
Lattice="4.934 0.000 0.000 0.000 5.533 0.000 0.000 0.000 4.934" Properties=species:S:1:pos:R:3 pbc="T T T"
K 0.000 0.000 0.000
Rh 0.000 0.000 2.467
Rh 2.467 0.000 0.000
Sn 2.467 2.766 2.467
Br 0.000 2.766 0.000
```

D(E_F): 7.343 states/eV per cell
space-group type: P4/mmm
uncorrected formation energy: 1391 meV/atom

=====

(2)
A relaxed PuZn2Cu9 crystal. Source: Alexandria via LeMat-Bulk, functional PBE.

```
24
Lattice="6.004 0.000 2.764 3.002 7.159 1.382 0.008 0.000 7.885" Properties=species:S:1:pos:R:3 pbc="T T T"
Pu 3.002 0.000 1.382
Pu 3.006 3.580 5.325
Zn 6.010 1.790 8.678
Zn 7.507 5.369 5.426
Zn 6.006 1.790 4.735
Zn 4.509 5.369 7.987
Cu 6.008 3.580 6.707
Cu 0.000 0.000 0.000
Cu 2.827 6.548 6.579
Cu 3.843 0.611 4.373
Cu 4.580 1.214 6.723
Cu 5.092 5.945 5.612
Cu 6.924 5.945 7.802
Cu 1.432 1.214 3.927
Cu 3.185 6.548 4.070
Cu 2.169 0.611 6.276
Cu 6.191 4.191 9.395
Cu 2.165 2.968 2.334
Cu 1.436 2.365 7.869
Cu 3.918 4.794 2.477
Cu 2.094 4.794 8.172
Cu 4.576 2.365 2.780
Cu 5.825 4.191 4.019
Cu 3.847 2.968 8.316
```

ΔE_f: -0.030 eV per atom
D(E_F): 37.472 states/eV per cell
space-group type: I4_1/amd

=====

(3)
A relaxed Cs2LiIBr6 crystal. Source: Alexandria via LeMat-Bulk, functional PBE.

```
10
Lattice="-7.948 -1.872 -0.291 1.178 -3.902 -7.081 -2.359 -7.680 -0.874" Properties=species:S:1:pos:R:3 pbc="T T T"
Cs -6.846 -6.219 -2.426
Cs -2.283 -7.235 -5.821
I 0.000 0.000 0.000
Br -2.845 -5.413 -2.205
Br -6.285 -8.041 -6.042
Br -1.853 -1.580 -2.018
Br -4.917 -4.193 -5.355
Br -5.450 -2.427 -2.150
Br -1.320 -3.346 -5.223
Li -3.385 -2.887 -3.686
```

D(E_F): 4.171 states/eV per cell
space-group type: I4/mmm
uncorrected formation energy: -944 meV/atom

=====

(4)
A relaxed Ca2MgTa crystal. Source: Alexandria via LeMat-Bulk, functional PBE.

```
4
Lattice="11.481 0.002 0.001 11.007 3.265 0.001 11.007 1.599 2.846" Properties=species:S:1:pos:R:3 pbc="T T T"
Ca 0.343 0.050 0.029
Ca 8.167 1.186 0.695
Mg 16.469 2.392 1.401
Ta 25.262 3.670 2.149
```

ΔE_f: 0.507 eV per atom
D(E_F): 3.928 states/eV per cell
space-group type: R3m

=====

(5)
A relaxed Rb2SnGeI6 crystal. Source: Alexandria via LeMat-Bulk, functional PBE.

```
10
Lattice="-7.495 2.936 -3.107 1.246 -4.499 -7.257 -6.015 -5.553 -2.720" Properties=species:S:1:pos:R:3 pbc="T T T"
I -4.536 -3.112 -3.979
I -7.728 -4.004 -9.104
I -1.598 -0.400 -2.650
I -4.652 -1.163 -7.713
I -5.260 1.035 -4.168
I -0.990 -2.598 -6.196
Ge -3.125 -0.782 -5.182
Sn 0.000 0.000 0.000
Rb -8.317 -1.699 -5.504
Rb -3.947 -5.417 -7.579
```

D(E_F): 0.000 states/eV per cell
space-group type: I4/mmm
uncorrected formation energy: -823 meV/atom
distance to the lowest polymorph of the same formula: 0.023 eV/atom

=====

(6)
A relaxed ZnIn3Ir crystal. Source: Alexandria via LeMat-Bulk, functional PBE.

```
5
Lattice="-4.892 -0.704 0.467 0.838 -3.699 3.203 -0.106 3.235 3.764" Properties=species:S:1:pos:R:3 pbc="T T T"
Zn 0.000 0.000 0.000
Ir -2.080 -0.584 3.716
In 0.419 -1.849 1.601
In -0.053 1.617 1.882
In -2.446 -0.352 0.233
```

ΔE_f: 0.920 eV per atom
D(E_F): 2.077 states/eV per cell
space-group type: Pm-3m
distance to the lowest polymorph of the same formula: 0.902 eV/atom